Record 1
Material: Mg2BeW
Method: DFT, PBE
State: optimized geometry

abc: 4.789 4.789 4.789
angles: 130.17 130.17 73.13
Positions (direct):
Mg 0.000 0.000 0.000
Mg 0.750 0.250 0.500
Be 0.500 0.500 0.000
W 0.250 0.750 0.500

Summary:
SG   No. 119
Raw total energy   -4.305 eV/atom
Magnetization   0.00 μB/cell

***

Record 2
Material: Mg2BeW
Method: DFT, PBE
State: optimized geometry

abc: 2.764 2.764 8.517
angles: 90.00 90.00 90.00
Positions (direct):
Mg 0.000 0.000 0.000
Mg 0.500 0.500 0.314
Be 0.500 0.500 0.777
W 0.000 0.000 0.579

Summary:
SG   No. 99
Raw total energy   -4.652 eV/atom
Magnetization   0.00 μB/cell

***

Record 3
Material: MgBeW
Method: DFT, PBE
State: optimized geometry

abc: 4.023 4.023 4.023
angles: 60.00 60.00 60.00
Positions (direct):
Mg 0.000 0.000 0.000
Be 0.750 0.750 0.750
W 0.500 0.500 0.500

Summary:
Polymorph energy (0 for the lowest one)   558 meV/atom
SG   No. 216
Raw total energy   -5.176 eV/atom
Magnetization   0.00 μB/cell

***

Record 4
Material: Mg2BeW2
Method: DFT, PBE
State: optimized geometry

abc: 8.035 8.035 8.035
angles: 154.17 154.17 36.85
Positions (direct):
Mg 0.095 0.095 0.000
Mg 0.905 0.905 0.000
Be 0.500 0.500 0.000
W 0.250 0.750 0.500
W 0.750 0.250 0.500

Summary:
Polymorph energy (0 for the lowest one)   0 meV/atom
SG   No. 139
Raw total energy   -5.590 eV/atom
Magnetization   0.00 μB/cell